# 1
Entry from the Alexandria database: BaHo2Ru after structural relaxation (PBE).

Output
* energy of formation from the pure elements: -0.1578 eV/atom
* uncorrected energy: -20.99 eV/cell
* Fermi-level density of states: 2.8 states/eV/f.u.
* calculated volume: 121.79 Å³ per cell
* energy relative to the lowest polymorph listed for this composition: 0.0000 eV per atom
* SG: No. 123

Unit cell a=3.4796 b=3.4796 c=10.0588 alpha=90.00 beta=90.00 gamma=90.00
Element x y z (fractional)
Ho (0.0000, 0.0000, 0.8402)
Ho (0.0000, 0.0000, 0.1598)
Ba (0.5000, 0.5000, 0.5000)
Ru (0.5000, 0.5000, 0.0000)


# 2
Entry from the Alexandria database: KBeCo3 after structural relaxation (PBE).

Output
* energy of formation from the pure elements: 0.9943 eV/atom
* uncorrected energy: -21.17 eV/cell
* Fermi-level density of states: 7.8 states/eV/f.u.
* calculated volume: 74.89 Å³ per cell
* energy relative to the lowest polymorph listed for this composition: 0.0000 eV per atom
* SG: No. 221

Unit cell a=4.2151 b=4.2151 c=4.2151 alpha=90.00 beta=90.00 gamma=90.00
Each line ends with the local moment (μB).
Element x y z (fractional)
K (0.5000, 0.5000, 0.5000)  -0.03
Co (0.5000, 0.0000, 0.0000)  1.14
Co (0.0000, 0.5000, 0.0000)  1.58
Co (0.0000, 0.0000, 0.5000)  1.42
Be (0.0000, 0.0000, 0.0000)  -0.10


> Which value of calculated volume does entry 1 give?

121.79 Å³ per cell


> Which of these has the highest energy of formation from the pure elements?

KBeCo3